VASP calculation (PBE) on a relaxed Pr2TlCuS4 crystal.

Values from the calculation:
For the formation energy (no corrections), the calculation gives -11.295 eV/f.u.

Lattice parameters (Å, degrees): 4.1033 14.0833 14.1265 90.00 90.00 90.00
Last column: nearest neighbours and their distance in Å.
Space group Cmcm (No. 63)
Inequivalent atoms, fractional coordinates:
Pr  0.0000  0.1344  0.0620  6 S 2.80-2.93
Tl  0.0000  0.3947  0.2500  6 S 3.23-3.37
Cu  0.0000  0.3360  0.7500  4 S 2.35-2.43
S  0.0000  0.0722  0.2500  2 Cu 2.43
S  0.0000  0.2381  0.6151  1 Cu 2.35
S  0.0000  0.5000  0.0000  4 Pr 2.93